A plane-wave DFT calculation with PBE+U was carried out for a geometry-optimized NiGe2TeF structure.

Its calculated density is 4128 kg/m3. The total moment is 0.00 μB/cell. The total energy is -2.62 eV per atom.

a b c (Å): 5.5659 4.5523 5.5659
angles (deg): 90.00 90.00 90.00
Closest atoms and distances in Å follow each position.
Fractional positions:
Ge 0.5000 0.0000 0.0000  2 Te 2.78
Ge 0.0000 0.0000 0.5000  2 Te 2.78
Te 0.0000 0.0000 0.0000  2 Ni 2.28
F 0.5000 0.5000 0.5000  8 Ge 3.60, 4 Ni 3.94
Ni 0.0000 0.5000 0.0000  2 Te 2.28